[1]
Computed, not measured: KCa2 after structural relaxation at the PBE level of DFT.

Geometry as extended XYZ:
```
6
Lattice="-6.227 9.648 -0.121 2.715 -11.090 1.237 1.566 1.090 6.338" Properties=species:S:1:pos:R:3 pbc="T T T"
Ca 2.688 -9.846 2.758
K -3.273 3.978 1.853
K 1.327 -4.328 5.601
Ca -4.634 9.495 4.696
Ca -1.457 2.127 5.179
Ca -0.489 -2.478 2.275
```

Results
energy of formation	2.26	kcal/mol of atoms
space group	Cmcm
E_tot	-1.602	eV/atom

---

[2]
Computed, not measured: CuNi2 after structural relaxation at the PBE level of DFT.

Geometry as extended XYZ:
```
6
Lattice="-2.281 2.464 2.243 0.024 0.374 -4.021 -3.679 -3.122 -0.312" Properties=species:S:1:pos:R:3 pbc="T T T"
Cu -1.664 0.290 -2.011
Cu -4.272 -0.574 -0.079
Ni -1.840 -1.561 -0.156
Ni -3.504 -1.271 -2.167
Ni 0.000 0.000 0.000
Ni -2.432 0.987 0.077
```

Results
energy of formation	3.58	kcal/mol of atoms
space group	P6_3/mmc
E_tot	-5.064	eV/atom

---

[3]
Computed, not measured: YOs2Br after structural relaxation at the PBE level of DFT.

Geometry as extended XYZ:
```
4
Lattice="5.688 0.000 0.000 0.000 3.732 0.000 0.000 0.000 3.732" Properties=species:S:1:pos:R:3 pbc="T T T"
Br 2.844 0.000 1.866
Os 0.000 1.866 1.866
Y 2.844 1.866 0.000
Os 0.000 0.000 0.000
```

Results
energy relative to the elements, uncorrected	501.8	meV/atom
space group	P4/mmm
E_tot	-7.147	eV/atom

---

[4]
Computed, not measured: TeAsPtN2 after structural relaxation at the PBE level of DFT.

Geometry as extended XYZ:
```
5
Lattice="3.718 0.000 0.000 0.000 3.718 0.000 0.000 0.000 7.408" Properties=species:S:1:pos:R:3 pbc="T T T"
As 0.000 0.000 0.000
N 0.000 1.859 0.000
N 1.859 0.000 0.000
Pt 1.859 1.859 3.704
Te 0.000 0.000 3.704
```

Results
energy relative to the elements, uncorrected	1294.9	meV/atom
space group	P4/mmm
E_tot	-4.802	eV/atom

---

These records have magnetization values of 0.0 1.0 0.0 0.8 μB per formula unit, in the order they appear.